Computed, not measured: a geometry-optimized Tl2MoAu structure at the PBE level of DFT.

- calculated density (g/cm3) = 13.96
- energy above the most stable polymorph in this dataset (meV/atom) = 269
- crystal system = tetragonal
- space group = I4/mmm, No. 139

Cell: 5.5026 5.5026 5.5026 Å, 134.48 134.48 66.34°
With the nearest neighbours (Å) after each atom.
Positions (direct):
1 Tl 0.2500 0.7500 0.5000  4 Tl 3.01, 4 Mo 3.14, 4 Au 3.14
2 Tl 0.7500 0.2500 0.5000  4 Tl 3.01, 4 Mo 3.14, 4 Au 3.14
3 Mo 0.0000 0.0000 0.0000  4 Au 3.01, 8 Tl 3.14
4 Au 0.5000 0.5000 0.0000  4 Mo 3.01, 8 Tl 3.14